Record 1
A geometry-optimized PmPrAlHg structure. Source: Alexandria, functional PBE.

Results
* ΔH_f (0 K): -0.3788 eV/atom
* total moment: 0.00 μB per formula unit
* relative energy among the computed polymorphs: 40 meV per atom

Unit cell a=5.385 b=5.385 c=5.385 alpha=60.00 beta=60.00 gamma=60.00
Sites, in units of the cell vectors:
Pr 0.500 0.500 0.500
Al 0.250 0.250 0.250
Hg 0.750 0.750 0.750
Pm 0.000 0.000 0.000


Record 2
A geometry-optimized SrUCu2Te4 structure. Source: Alexandria, functional PBE.

Results
* E_tot: -4.6915 eV per atom
* total moment: 2.09 μB per formula unit

Unit cell a=7.255 b=6.808 c=6.808 alpha=70.74 beta=57.80 gamma=57.80
Sites, in units of the cell vectors:
Sr 0.000 0.000 0.000
U 0.500 0.500 0.500
Cu 0.148 0.352 0.352
Cu 0.852 0.648 0.648
Te 0.458 0.077 0.507
Te 0.042 0.923 0.493
Te 0.958 0.507 0.077
Te 0.542 0.493 0.923


Record 3
A geometry-optimized NaCdPbCl6 structure. Source: Alexandria, functional PBE.

Results
* E_tot: -2.9890 eV per atom
* total moment: 0.51 μB per formula unit

Unit cell a=6.893 b=6.893 c=12.601 alpha=90.00 beta=90.00 gamma=120.00
Sites, in units of the cell vectors:
Na 0.000 0.000 0.000
Na 0.000 0.000 0.500
Cd 0.333 0.667 0.250
Cd 0.667 0.333 0.750
Pb 0.667 0.333 0.250
Pb 0.333 0.667 0.750
Cl 0.643 0.652 0.129
Cl 0.009 0.357 0.129
Cl 0.357 0.009 0.629
Cl 0.991 0.643 0.871
Cl 0.348 0.357 0.371
Cl 0.009 0.652 0.371
Cl 0.652 0.009 0.871
Cl 0.643 0.991 0.371
Cl 0.991 0.348 0.629
Cl 0.348 0.991 0.129
Cl 0.652 0.643 0.629
Cl 0.357 0.348 0.871


Record 4
A geometry-optimized Ag2Pd4Au5 structure. Source: Alexandria, functional PBE.

Results
* ΔH_f (0 K): 0.2220 eV/atom
* total moment: 0.00 μB per formula unit
* relative energy among the computed polymorphs: 307 meV per atom

Unit cell a=4.484 b=4.484 c=12.891 alpha=79.98 beta=79.98 gamma=60.00
Sites, in units of the cell vectors:
Ag 0.135 0.135 0.595
Ag 0.865 0.865 0.405
Pd 0.718 0.718 0.847
Pd 0.576 0.576 0.273
Pd 0.424 0.424 0.727
Pd 0.282 0.282 0.153
Au 0.787 0.787 0.639
Au 0.647 0.647 0.059
Au 0.500 0.500 0.500
Au 0.353 0.353 0.941
Au 0.213 0.213 0.361


Record 5
A geometry-optimized NpTaTiIr structure. Source: Alexandria, functional PBE.

Results
* ΔH_f (0 K): 0.0308 eV/atom
* total moment: 3.81 μB per formula unit

Unit cell a=4.618 b=4.618 c=4.618 alpha=60.00 beta=60.00 gamma=60.00
Sites, in units of the cell vectors:
Np 0.000 0.000 0.000
Ir 0.500 0.500 0.500
Ti 0.250 0.250 0.250
Ta 0.750 0.750 0.750


Record 6
A geometry-optimized Ac2Ni2Sn structure. Source: Alexandria, functional PBE.

Results
* ΔH_f (0 K): -0.4436 eV/atom
* total moment: 0.00 μB per formula unit
* relative energy among the computed polymorphs: 0 meV per atom

Unit cell a=4.145 b=4.170 c=7.664 alpha=105.79 beta=90.00 gamma=90.00
Sites, in units of the cell vectors:
Ac 0.500 0.634 0.268
Ac 0.500 0.366 0.732
Ni 0.000 0.202 0.405
Ni 0.000 0.798 0.595
Sn 0.000 0.000 0.000


Record 7
A geometry-optimized LiNpCuCl6 structure. Source: Alexandria, functional PBE.

Results
* E_tot: -4.6926 eV per atom
* total moment: 3.00 μB per formula unit

Unit cell a=6.455 b=6.455 c=11.679 alpha=90.00 beta=90.00 gamma=120.00
Sites, in units of the cell vectors:
Li 0.333 0.667 0.250
Li 0.667 0.333 0.750
Np 0.667 0.333 0.250
Np 0.333 0.667 0.750
Cu 0.000 0.000 0.000
Cu 0.000 0.000 0.500
Cl 0.670 0.674 0.124
Cl 0.003 0.330 0.124
Cl 0.330 0.003 0.624
Cl 0.997 0.670 0.876
Cl 0.326 0.330 0.376
Cl 0.003 0.674 0.376
Cl 0.674 0.003 0.876
Cl 0.670 0.997 0.376
Cl 0.997 0.326 0.624
Cl 0.326 0.997 0.124
Cl 0.674 0.670 0.624
Cl 0.330 0.326 0.876


Record 8
A geometry-optimized PmTmNi structure. Source: Alexandria, functional PBE.

Results
* ΔH_f (0 K): -0.1383 eV/atom
* total moment: 0.00 μB per formula unit
* relative energy among the computed polymorphs: 135 meV per atom

Unit cell a=4.771 b=4.771 c=4.771 alpha=60.00 beta=60.00 gamma=60.00
Sites, in units of the cell vectors:
Ni 0.250 0.250 0.250
Tm 0.500 0.500 0.500
Pm 0.000 0.000 0.000


Record 9
A geometry-optimized CaTcP2Pt structure. Source: Alexandria, functional PBE.

Results
* ΔH_f (0 K): -0.7969 eV/atom
* total moment: 0.00 μB per formula unit

Unit cell a=4.082 b=4.082 c=5.801 alpha=110.60 beta=110.60 gamma=90.00
Sites, in units of the cell vectors:
Ca 0.000 0.000 0.000
Tc 0.750 0.250 0.500
P 0.623 0.623 0.246
P 0.377 0.377 0.754
Pt 0.250 0.750 0.500


Record 10
A geometry-optimized Sc2TaCo structure. Source: Alexandria, functional PBE.

Results
* ΔH_f (0 K): 0.1369 eV/atom
* total moment: 0.10 μB per formula unit
* relative energy among the computed polymorphs: 218 meV per atom

Unit cell a=4.266 b=3.093 c=5.732 alpha=71.68 beta=90.00 gamma=90.00
Sites, in units of the cell vectors:
Co 0.500 0.750 0.750
Sc 0.000 0.914 0.984
Sc 0.000 0.586 0.516
Ta 0.500 0.250 0.250


Record 11
A geometry-optimized Cr3Cu2NiSe8 structure. Source: Alexandria, functional PBE.

Results
* E_tot: -5.4655 eV per atom
* total moment: 7.71 μB per formula unit

Unit cell a=7.354 b=7.354 c=7.354 alpha=59.26 beta=59.26 gamma=59.26
Sites, in units of the cell vectors:
Cr 0.000 0.500 0.500
Cr 0.500 0.500 0.000
Cr 0.500 0.000 0.500
Cu 0.874 0.874 0.874
Cu 0.126 0.126 0.126
Ni 0.500 0.500 0.500
Se 0.742 0.742 0.742
Se 0.277 0.738 0.738
Se 0.738 0.738 0.277
Se 0.738 0.277 0.738
Se 0.258 0.258 0.258
Se 0.723 0.262 0.262
Se 0.262 0.262 0.723
Se 0.262 0.723 0.262


Record 12
A geometry-optimized LaAl2Cd structure. Source: Alexandria, functional PBE.

Results
* ΔH_f (0 K): -0.1308 eV/atom
* total moment: 0.00 μB per formula unit

Unit cell a=3.586 b=3.586 c=7.323 alpha=90.00 beta=90.00 gamma=89.99
Sites, in units of the cell vectors:
Cd 0.500 0.500 0.250
Al 0.000 0.000 0.048
Al 0.000 0.000 0.452
La 0.500 0.500 0.750


Record 13
A geometry-optimized V2InRe structure. Source: Alexandria, functional PBE.

Results
* ΔH_f (0 K): 0.2158 eV/atom
* total moment: 0.88 μB per formula unit

Unit cell a=2.979 b=2.979 c=8.714 alpha=80.16 beta=80.16 gamma=60.00
Sites, in units of the cell vectors:
Re 0.000 0.000 0.000
V 0.260 0.260 0.221
V 0.740 0.740 0.779
In 0.500 0.500 0.500


Record 14
A geometry-optimized HfIn2Ge structure. Source: Alexandria, functional PBE.

Results
* ΔH_f (0 K): 0.1674 eV/atom
* total moment: 0.00 μB per formula unit

Unit cell a=8.049 b=8.049 c=6.364 alpha=50.78 beta=50.78 gamma=90.00
Sites, in units of the cell vectors:
Ge 0.500 0.500 0.000
Ge 0.250 0.750 0.500
Hf 0.000 0.000 0.000
Hf 0.750 0.250 0.500
In 0.600 0.125 0.250
In 0.150 0.625 0.250
In 0.375 0.400 0.750
In 0.875 0.850 0.750


Record 15
A geometry-optimized SnGeAu2 structure. Source: Alexandria, functional PBE.

Results
* ΔH_f (0 K): -0.0061 eV/atom
* total moment: 0.00 μB per formula unit
* relative energy among the computed polymorphs: 31 meV per atom

Unit cell a=4.681 b=4.681 c=8.993 alpha=74.91 beta=74.91 gamma=90.00
Sites, in units of the cell vectors:
Ge 0.500 0.500 0.000
Ge 0.250 0.750 0.500
Au 0.580 0.125 0.250
Au 0.170 0.625 0.250
Au 0.375 0.420 0.750
Au 0.875 0.830 0.750
Sn 0.000 0.000 0.000
Sn 0.750 0.250 0.500


Record 16
A geometry-optimized RbTl2V2S7 structure. Source: Alexandria, functional PBE.

Results
* E_tot: -4.9909 eV per atom
* total moment: 1.11 μB per formula unit

Unit cell a=6.551 b=6.551 c=11.515 alpha=73.48 beta=73.48 gamma=60.00
Sites, in units of the cell vectors:
Rb 0.500 0.500 0.500
Tl 0.696 0.696 0.913
Tl 0.304 0.304 0.087
V 0.932 0.932 0.205
V 0.068 0.068 0.795
S 0.207 0.922 0.272
S 0.598 0.207 0.272
S 0.922 0.598 0.272
S 0.402 0.078 0.728
S 0.793 0.402 0.728
S 0.000 0.000 0.000
S 0.078 0.793 0.728


Record 17
A geometry-optimized SrTa3Pt structure. Source: Alexandria, functional PBE.

Results
* ΔH_f (0 K): 1.0243 eV/atom
* total moment: 0.00 μB per formula unit
* relative energy among the computed polymorphs: 0 meV per atom

Unit cell a=5.029 b=5.029 c=5.029 alpha=90.00 beta=90.00 gamma=90.00
Sites, in units of the cell vectors:
Sr 0.500 0.500 0.500
Pt 0.000 0.000 0.000
Ta 0.000 0.500 0.000
Ta 0.000 0.000 0.500
Ta 0.500 0.000 0.000


Record 18
A geometry-optimized CeCo2Ge2As structure. Source: Alexandria, functional PBE.

Results
* ΔH_f (0 K): -0.2411 eV/atom
* total moment: 0.96 μB per formula unit

Unit cell a=4.375 b=4.375 c=5.567 alpha=90.00 beta=90.00 gamma=90.00
Sites, in units of the cell vectors:
Ce 0.000 0.000 0.500
Co 0.500 0.000 0.000
Co 0.000 0.500 0.000
Ge 0.500 0.500 0.739
Ge 0.500 0.500 0.261
As 0.000 0.000 0.000


Record 19
A geometry-optimized OsC2 structure. Source: Alexandria, functional PBE.

Results
* ΔH_f (0 K): 0.5780 eV/atom
* total moment: 0.00 μB per formula unit
* relative energy among the computed polymorphs: 14 meV per atom

Unit cell a=2.881 b=2.881 c=7.982 alpha=90.00 beta=90.00 gamma=120.00
Sites, in units of the cell vectors:
Os 0.667 0.333 0.750
Os 0.333 0.667 0.250
C 0.000 0.000 0.910
C 0.000 0.000 0.410
C 0.000 0.000 0.090
C 0.000 0.000 0.590


Record 20
A geometry-optimized NbAsN2F structure. Source: Alexandria, functional PBE.

Results
* total moment: 0.00 μB per formula unit
* relative energy among the computed polymorphs: 0 meV per atom

Unit cell a=4.133 b=4.133 c=4.034 alpha=90.00 beta=90.00 gamma=90.00
Sites, in units of the cell vectors:
Nb 0.000 0.000 0.000
N 0.000 0.500 0.000
N 0.500 0.000 0.000
As 0.500 0.500 0.500
F 0.000 0.000 0.500